! AgRu (SCAN, single point on PBEsol structure); values from VASP
&SYSTEM
  ibrav = 0, nat = 2, ntyp = 2
/
ATOMIC_SPECIES
Ag 107.87 Ag.upf
Ru 101.07 Ru.upf
ATOMIC_POSITIONS crystal
Ag 0.0000 0.0000 0.0000
Ru 0.5000 0.5000 0.5000
CELL_PARAMETERS angstrom
1.3709 -2.2840 0.0000
1.3709 2.2840 0.0000
0.0000 0.0000 4.8083
! crystal system: orthorhombic
! formation energy from the elements: 0.62 eV per atom
! density of states at the Fermi level: 0.74 states/eV per atom
! DFT total energy: -32.48 eV/atom

=====

! AgRu (SCAN, single point on PBEsol structure); values from VASP
&SYSTEM
  ibrav = 0, nat = 2, ntyp = 2
/
ATOMIC_SPECIES
Ag 107.87 Ag.upf
Ru 101.07 Ru.upf
ATOMIC_POSITIONS crystal
Ag 0.0000 0.0000 0.0000
Ru 0.5000 0.5000 0.5000
CELL_PARAMETERS angstrom
2.6103 0.0000 0.0000
0.0000 2.6103 0.0000
0.0000 0.0000 4.3703
! crystal system: tetragonal
! formation energy from the elements: 0.71 eV per atom
! density of states at the Fermi level: 1.22 states/eV per atom
! DFT total energy: -32.39 eV/atom

=====

! AgRu2 (SCAN, single point on PBEsol structure); values from VASP
&SYSTEM
  ibrav = 0, nat = 3, ntyp = 2
/
ATOMIC_SPECIES
Ag 107.87 Ag.upf
Ru 101.07 Ru.upf
ATOMIC_POSITIONS crystal
Ag 0.0000 0.0000 0.0000
Ru 0.3198 0.3198 0.0000
Ru 0.6802 0.6802 0.0000
CELL_PARAMETERS angstrom
-1.3649 1.3649 5.8351
1.3649 -1.3649 5.8351
1.3649 1.3649 -5.8351
! crystal system: tetragonal
! formation energy from the elements: 0.36 eV per atom
! offset from the most stable computed form: 0.0000 eV/atom
! density of states at the Fermi level: 0.86 states/eV per atom
! DFT total energy: -33.32 eV/atom